# 1
7
Lattice="-2.793 -3.951 -0.296 -1.093 1.210 -5.836 4.920 -3.510 0.436" Properties=species:S:1:pos:R:3 comment="Tb4Pd2Rh | Alexandria via LeMat-Bulk | PBE | optimized geometry" e_form_ev_per_atom=-0.724 dos_at_fermi_per_ev_cell=4.48 total_magnetization_mub_per_fu=0.00 pbc="T T T"
Pd 3.423 -2.335 -1.126
Pd 0.405 0.034 -4.274
Tb 1.064 -3.731 0.070
Tb -1.943 -1.371 -3.066
Tb 0.968 -0.582 -1.366
Tb 2.859 -1.718 -4.034
Rh 0.517 -3.126 -2.848

***

# 2
11
Lattice="-3.888 -1.876 -6.118 2.613 -5.207 -4.646 -4.667 -5.581 1.615" Properties=species:S:1:pos:R:3 comment="Tb2Tm3Te6 | Alexandria via LeMat-Bulk | PBE | optimized geometry" dos_at_fermi_per_ev_cell=4.86 e_form_raw_ev_per_atom=-1.356 total_magnetization_mub_per_fu=0.00 pbc="T T T"
Te -2.598 -4.178 -4.644
Te -3.343 -8.487 -4.505
Te -2.919 -6.636 -8.268
Te -6.375 -5.578 -3.300
Te -3.022 -6.028 -0.881
Te -2.180 -1.880 -1.202
Tm 0.000 0.000 0.000
Tm -0.383 -2.400 -3.602
Tm -0.892 -4.683 -7.161
Tb -1.211 -6.601 -3.319
Tb -4.731 -6.063 -5.830

***

# 3
4
Lattice="4.238 0.000 0.000 0.000 2.809 -0.007 0.000 0.776 7.550" Properties=species:S:1:pos:R:3 comment="KCrMo2 | Alexandria via LeMat-Bulk | PBE | optimized geometry" e_form_ev_per_atom=0.874 dos_at_fermi_per_ev_cell=3.86 total_magnetization_mub_per_fu=0.00 pbc="T T T"
Mo 0.000 2.711 0.826
Mo 2.119 0.947 1.989
K 2.119 2.567 5.595
Cr 0.000 1.961 2.897

***

Question: Number 2 is which compound?
Answer: Tb2Tm3Te6

***

What did the third record say?
4
Lattice="4.238 0.000 0.000 0.000 2.809 -0.007 0.000 0.776 7.550" Properties=species:S:1:pos:R:3 comment="KCrMo2 | Alexandria via LeMat-Bulk | PBE | optimized geometry" e_form_ev_per_atom=0.874 dos_at_fermi_per_ev_cell=3.86 total_magnetization_mub_per_fu=0.00 pbc="T T T"
Mo 0.000 2.711 0.826
Mo 2.119 0.947 1.989
K 2.119 2.567 5.595
Cr 0.000 1.961 2.897